1.
TlMo2Br (GGA-PBEsol, optimized geometry); space-group type = Fm-3m, No. 225; magnetization = 0.0 μB/f.u.; E_form (uncorrected) = 1064 meV/atom; volume = 69.12 Å³ per cell; ΔE to the lowest computed polymorph = 704 meV per atom; Fermi-level density of states = 6.2 states/eV/cell
1.0
4.607 0.000 0.000
2.303 3.989 0.000
2.303 1.330 3.761
Mo Tl Br
2 1 1
Cartesian
2.303 1.330 0.940 Mo
6.910 3.989 2.821 Mo
4.607 2.660 1.881 Tl
0.000 0.000 0.000 Br

2.
Tl3MoBr (GGA-PBEsol, optimized geometry); space-group type = Pm-3m, No. 221; magnetization = 4.8 μB/f.u.; E_form (uncorrected) = 1192 meV/atom; volume = 195.79 Å³ per cell; Fermi-level density of states = 1.8 states/eV/cell
1.0
5.807 0.000 0.000
0.000 5.807 0.000
0.000 0.000 5.807
Tl Br Mo
3 1 1
Cartesian
0.000 0.000 2.903 Tl
2.903 0.000 0.000 Tl
0.000 2.903 0.000 Tl
0.000 0.000 0.000 Br
2.903 2.903 2.903 Mo

3.
TlMo2Br (GGA-PBEsol, optimized geometry); space-group type = P4mm, No. 99; magnetization = 0.0 μB/f.u.; E_form (uncorrected) = 359 meV/atom; volume = 80.74 Å³ per cell; ΔE to the lowest computed polymorph = 0 meV per atom; Fermi-level density of states = 2.1 states/eV/cell
1.0
3.163 0.000 0.000
0.000 3.163 0.000
0.000 0.000 8.070
Tl Mo Br
1 2 1
Cartesian
0.000 0.000 3.645 Tl
1.582 1.582 1.641 Mo
0.000 0.000 0.295 Mo
1.582 1.582 6.525 Br

4.
Mo2WBr (GGA-PBEsol, optimized geometry); space-group type = Pmm2, No. 25; magnetization = 0.0 μB/f.u.; E_form (uncorrected) = 729 meV/atom; volume = 77.47 Å³ per cell; ΔE to the lowest computed polymorph = 283 meV per atom; Fermi-level density of states = 2.7 states/eV/cell
1.0
-0.086 1.121 -2.904
1.873 -3.055 -1.235
-5.703 -3.084 -1.023
W Br Mo
1 1 2
Cartesian
-2.302 -1.245 -0.413 W
-3.754 -3.480 -2.903 Br
-0.408 -1.671 -2.303 Mo
-0.305 -0.165 -0.055 Mo

5.
Mo2WBr (GGA-PBEsol, optimized geometry); space-group type = P4/mmm, No. 123; magnetization = 0.0 μB/f.u.; E_form (uncorrected) = 446 meV/atom; volume = 64.77 Å³ per cell; ΔE to the lowest computed polymorph = 0 meV per atom; Fermi-level density of states = 3.2 states/eV/cell
1.0
-2.103 -1.562 1.579
1.840 -0.007 2.443
-2.817 5.952 2.138
Br W Mo
1 1 2
Cartesian
-1.540 2.191 3.080 Br
-0.131 -0.785 2.011 W
-0.650 1.373 0.493 Mo
-2.167 4.579 1.645 Mo

6.
Mo2WBr (GGA-PBEsol, optimized geometry); space-group type = R-3m, No. 166; magnetization = 0.0 μB/f.u.; E_form (uncorrected) = 524 meV/atom; volume = 66.68 Å³ per cell; ΔE to the lowest computed polymorph = 78 meV per atom; Fermi-level density of states = 4.7 states/eV/cell
1.0
-2.334 -1.722 0.913
0.356 -1.943 2.312
-2.956 4.729 6.428
W Mo Br
1 2 1
Cartesian
-2.467 0.532 4.826 W
-3.669 0.717 7.166 Mo
-1.265 0.347 2.486 Mo
0.000 0.000 0.000 Br

7.
Mo2WBr (GGA-PBEsol, optimized geometry); space-group type = I-4m2, No. 119; magnetization = 0.0 μB/f.u.; E_form (uncorrected) = 1067 meV/atom; volume = 63.51 Å³ per cell; ΔE to the lowest computed polymorph = 621 meV per atom; Fermi-level density of states = 4.3 states/eV/cell
1.0
-2.988 1.949 1.077
0.415 -1.284 3.474
3.971 3.233 -1.278
W Mo Br
1 2 1
Cartesian
-1.287 0.332 2.276 W
-0.152 2.757 1.037 Mo
0.000 0.000 0.000 Mo
1.550 1.140 2.236 Br

8.
MoWBr2 (GGA-PBEsol, optimized geometry); space-group type = Imm2, No. 44; magnetization = 0.0 μB/f.u.; E_form (uncorrected) = 757 meV/atom; volume = 85.95 Å³ per cell; ΔE to the lowest computed polymorph = 0 meV per atom; Fermi-level density of states = 1.8 states/eV/cell
1.0
-2.487 2.049 -0.292
-2.432 -2.515 3.077
4.567 3.396 2.857
Mo Br W
1 2 1
Cartesian
-2.107 0.297 2.105 Mo
-0.544 2.642 5.256 Br
-0.281 2.469 1.795 Br
-0.233 0.218 3.522 W